A relaxed structure of NbV2TcH. Source: Alexandria, functional PBE.

Cell lengths 3.718, 3.718, 4.545 Å; angles 90.00, 90.00, 90.00 degrees
Space group P4/mmm (No. 123)
Symmetry-distinct sites (fractional):
Nb 0.000 0.000 0.000 x1
V 0.000 0.500 0.500 x2
Tc 0.500 0.500 0.000 x1
H 0.000 0.000 0.500 x1

Computed properties:
The density comes out at 7.77 Mg/m³. The relative energy among the computed polymorphs comes out at 0.000 eV per atom.

A relaxed structure of Al2Tc2Pd. Source: Alexandria, functional PBE.

Cell lengths 6.575, 6.575, 3.391 Å; angles 90.00, 90.00, 90.00 degrees
Space group P4/mbm (No. 127)
Symmetry-distinct sites (fractional):
Al 0.135 0.365 0.000 x4
Tc 0.167 0.667 0.500 x4
Pd 0.000 0.000 0.000 x2

Computed properties:
The density comes out at 8.07 Mg/m³. The formation energy comes out at -0.93 eV per formula unit. The relative energy among the computed polymorphs comes out at 0.000 eV per atom.

A relaxed structure of MgW5. Source: Alexandria, functional PBE.

Cell lengths 2.683, 2.683, 13.953 Å; angles 90.00, 90.00, 90.00 degrees
Space group P4/mmm (No. 123)
Symmetry-distinct sites (fractional):
Mg 0.000 0.000 0.000 x1
W 0.000 0.000 0.336 x2
W 0.500 0.500 0.169 x2
W 0.500 0.500 0.500 x1

Computed properties:
The density comes out at 15.60 Mg/m³. The formation energy comes out at 2.62 eV per formula unit. The relative energy among the computed polymorphs comes out at 0.078 eV per atom.

A relaxed structure of CdOs2O. Source: Alexandria, functional PBE.

Cell lengths 4.610, 4.610, 13.544 Å; angles 90.00, 90.00, 90.00 degrees
Space group I-42d (No. 122)
Symmetry-distinct sites (fractional):
Cd 0.000 0.000 0.000 x4
Os 0.083 0.250 0.625 x8
O 0.000 0.000 0.500 x4

Computed properties:
As for the raw formation energy: 0.786 eV per atom. The density comes out at 11.74 Mg/m³. The relative energy among the computed polymorphs comes out at 0.000 eV per atom.

A relaxed structure of NaLaHg3. Source: Alexandria, functional PBE.

Cell lengths 19.345, 5.649, 5.497 Å; angles 90.00, 106.35, 90.00 degrees
Space group C2/m (No. 12)
Symmetry-distinct sites (fractional):
Na 0.126 0.000 0.377 x4
La 0.113 0.500 0.865 x4
Hg 0.031 0.000 0.781 x4
Hg 0.201 0.500 0.452 x4
Hg 0.207 0.000 0.958 x4

Computed properties:
The density comes out at 8.80 Mg/m³. The formation energy comes out at -1.21 eV per formula unit. The relative energy among the computed polymorphs comes out at 0.110 eV per atom.

A relaxed structure of Ce2MgAu4. Source: Alexandria, functional PBE.

Cell lengths 4.6278, 4.6278, 28.1544 Å; angles 90.00, 90.00, 120.00 degrees
Space group R-3m (No. 166, hexagonal axes)
Symmetry-distinct sites (fractional):
Ce 0.0000 0.0000 0.2480 x6
Mg 0.0000 0.0000 0.0000 x3
Au 0.0000 0.0000 0.1382 x6
Au 0.0000 0.0000 0.3602 x6

Computed properties:
The density comes out at 10.42 Mg/m³. The formation energy comes out at -3.90 eV per formula unit.